Record 1
Crystalline PaVTe4 at its relaxed geometry, computed with PBE-GGA.

## Properties
SG: Cmc2_1, No. 36
Formation energy from raw total energies, eV per atom: -0.39
Polymorph energy (0 for the lowest one), eV/atom: 0.145
DOS at the Fermi energy, states/eV/atom: 0.786
Crystal system: orthorhombic

abc: 9.826 9.826 6.911
angles: 90.00 90.00 148.85
Atoms (fractional coordinates):
Pa (0.155, 0.845, 0.500)
Pa (0.845, 0.155, 0.000)
V (0.405, 0.595, 0.640)
V (0.595, 0.405, 0.140)
Te (0.095, 0.905, 0.083)
Te (0.279, 0.721, 0.818)
Te (0.324, 0.676, 0.296)
Te (0.457, 0.543, 0.002)
Te (0.543, 0.457, 0.502)
Te (0.676, 0.324, 0.796)
Te (0.721, 0.279, 0.318)
Te (0.905, 0.095, 0.583)

=====

Record 2
Crystalline Pa2VTe at its relaxed geometry, computed with PBE-GGA.

## Properties
SG: R-3m, No. 166
Formation energy from raw total energies, eV per atom: 0.11
Polymorph energy (0 for the lowest one), eV/atom: 0.164
DOS at the Fermi energy, states/eV/atom: 1.636
Crystal system: trigonal

abc: 7.760 7.760 7.760
angles: 29.99 29.99 29.99
Atoms (fractional coordinates):
Pa (0.233, 0.233, 0.233)
Pa (0.767, 0.767, 0.767)
V (0.500, 0.500, 0.500)
Te (0.000, 0.000, 0.000)

=====

Record 3
Crystalline PaVTe at its relaxed geometry, computed with PBE-GGA.

## Properties
SG: P3m1, No. 156
Formation energy from raw total energies, eV per atom: 0.21
Polymorph energy (0 for the lowest one), eV/atom: 0.343
DOS at the Fermi energy, states/eV/atom: 1.308
Crystal system: trigonal

abc: 4.127 4.127 4.636
angles: 90.00 90.00 120.00
Atoms (fractional coordinates):
Pa (0.000, 0.000, 0.000)
V (0.667, 0.333, 0.197)
Te (0.333, 0.667, 0.493)